Crystalline LaNd2Y4Ho2 at its relaxed geometry, computed with PBE.

Computed properties:
- Theoretical density: 6110 kg/m3
- Final energy: -48.8 eV for the cell shown
- Magnetic moment: 0.00 μB per cell
- Formation energy: 0.7 eV/f.u.

Cell lengths 6.8067, 10.1510, 6.6869 Å; angles 120.89, 126.77, 58.85 degrees
Last column: nearest neighbours and their distance in Å.
Element x y z (fractional)
Ho 0.8151 0.4521 0.0364  4 Nd 3.45-3.54, 5 Y 3.46-3.71, 2 Ho 3.46-3.64
Ho 0.1849 0.5479 0.9636  4 Nd 3.45-3.54, 5 Y 3.46-3.71, 2 Ho 3.46-3.64
Y 0.7375 0.8790 0.1967  1 Nd 3.41, 4 Y 3.41-3.75, 2 Ho 3.57-3.71, 1 La 3.63
Y 0.2625 0.1210 0.8033  1 Nd 3.41, 4 Y 3.41-3.75, 2 Ho 3.57-3.71, 1 La 3.63
Y 0.6082 0.7593 0.5057  1 La 3.45, 3 Ho 3.46-3.61, 3 Nd 3.47-3.73, 3 Y 3.48-3.75
Y 0.3918 0.2407 0.4943  1 La 3.45, 3 Ho 3.46-3.61, 3 Nd 3.47-3.73, 3 Y 3.48-3.75
La 0.0000 0.0000 0.0000  4 Y 3.45-3.63, 2 Nd 3.54
Nd 0.2640 0.6510 0.5944  4 Y 3.41-3.73, 4 Ho 3.45-3.54, 1 Nd 3.46, 1 La 3.54
Nd 0.7360 0.3490 0.4056  4 Y 3.41-3.73, 4 Ho 3.45-3.54, 1 Nd 3.46, 1 La 3.54



Crystalline La2Nd2Y2Ho at its relaxed geometry, computed with PBE.

Computed properties:
- Theoretical density: 6277 kg/m3
- Final energy: -36.7 eV for the cell shown
- Magnetic moment: 0.00 μB per cell
- Formation energy: 0.2 eV/f.u.

Cell lengths 5.1787, 6.3330, 8.1209 Å; angles 97.61, 90.00, 114.13 degrees
Last column: nearest neighbours and their distance in Å.
Element x y z (fractional)
La 0.8574 0.7149 0.5734  1 Ho 3.61, 5 Nd 3.65-3.69, 3 La 3.66-3.67, 3 Y 3.67-3.68
La 0.1426 0.2851 0.4266  1 Ho 3.61, 5 Nd 3.65-3.69, 3 La 3.66-3.67, 3 Y 3.67-3.68
Y 0.7151 0.4302 0.1381  4 Nd 3.57-3.66, 2 Y 3.59, 3 Ho 3.63-3.65, 3 La 3.67-3.68
Y 0.2849 0.5698 0.8619  4 Nd 3.57-3.66, 2 Y 3.59, 3 Ho 3.63-3.65, 3 La 3.67-3.68
Ho 0.0000 0.0000 0.0000  2 La 3.61, 4 Nd 3.62, 6 Y 3.63-3.65
Nd 0.4294 0.8588 0.2811  4 Y 3.57-3.66, 2 Ho 3.62, 5 La 3.65-3.69, 1 Nd 3.69
Nd 0.5706 0.1412 0.7189  4 Y 3.57-3.66, 2 Ho 3.62, 5 La 3.65-3.69, 1 Nd 3.69



Crystalline La3Nd2Y6Ho at its relaxed geometry, computed with PBE.

Computed properties:
- Theoretical density: 5778 kg/m3
- Final energy: -67.5 eV for the cell shown
- Magnetic moment: 0.00 μB per cell
- Formation energy: 0.1 eV/f.u.

Cell lengths 6.2977, 6.2977, 11.9292 Å; angles 95.04, 95.04, 120.01 degrees
Last column: nearest neighbours and their distance in Å.
Element x y z (fractional)
Y 0.9180 0.5852 0.7529  1 Ho 3.58, 2 Nd 3.58, 6 Y 3.63-3.64, 3 La 3.63-3.64
Y 0.7494 0.7494 0.2473  1 Ho 3.58, 2 Nd 3.58, 6 Y 3.63-3.64, 3 La 3.64
Y 0.5852 0.9180 0.7529  1 Ho 3.58, 2 Nd 3.58, 6 Y 3.63-3.64, 3 La 3.63-3.64
Y 0.0820 0.4148 0.2471  1 Ho 3.58, 2 Nd 3.58, 6 Y 3.63-3.64, 3 La 3.63-3.64
Y 0.2506 0.2506 0.7527  1 Ho 3.58, 2 Nd 3.58, 6 Y 3.63-3.64, 3 La 3.64
Y 0.4148 0.0820 0.2471  1 Ho 3.58, 2 Nd 3.58, 6 Y 3.63-3.64, 3 La 3.63-3.64
Ho 0.0000 0.0000 0.0000  6 Y 3.58, 6 Nd 3.63-3.64
La 0.5000 0.5000 0.5000  6 La 3.63-3.64, 6 Y 3.64
La 0.1670 0.8330 0.5000  6 La 3.63-3.64, 6 Y 3.63-3.64
La 0.8330 0.1670 0.5000  6 La 3.63-3.64, 6 Y 3.63-3.64
Nd 0.6664 0.3336 0.0000  6 Y 3.58, 3 Nd 3.63-3.64, 3 Ho 3.63-3.64
Nd 0.3336 0.6664 0.0000  6 Y 3.58, 3 Nd 3.63-3.64, 3 Ho 3.63-3.64



Crystalline La2NdYHo at its relaxed geometry, computed with PBE.

Computed properties:
- Theoretical density: 6102 kg/m3
- Final energy: -48.1 eV for the cell shown
- Magnetic moment: 0.00 μB per cell
- Formation energy: 1.6 eV/f.u.

Cell lengths 11.1038, 6.9474, 5.8997 Å; angles 126.07, 90.00, 90.00 degrees
Last column: nearest neighbours and their distance in Å.
Element x y z (fractional)
La 0.0000 0.2467 0.0000  2 Ho 3.39, 2 Nd 3.41, 2 La 3.43-3.52
La 0.5000 0.7533 0.0000  2 Ho 3.39, 2 Nd 3.41, 2 La 3.43-3.52
La 0.0000 0.7533 0.0000  2 Ho 3.39, 2 Nd 3.41, 2 La 3.43-3.52
La 0.5000 0.2467 0.0000  2 Ho 3.39, 2 Nd 3.41, 2 La 3.43-3.52
Ho 0.2500 0.9054 0.8107  1 Nd 2.96, 1 Y 3.25
Ho 0.7500 0.0946 0.1893  1 Nd 2.96, 1 Y 3.25
Y 0.2500 0.2461 0.4922  1 Ho 3.25, 1 Nd 3.32
Y 0.7500 0.7539 0.5078  1 Ho 3.25, 1 Nd 3.32
Nd 0.2500 0.5945 0.1891  1 Ho 2.96
Nd 0.7500 0.4055 0.8109  1 Ho 2.96



Crystalline La2Nd6Y3Ho at its relaxed geometry, computed with PBE.

Computed properties:
- Theoretical density: 6330 kg/m3
- Final energy: -62.2 eV for the cell shown
- Magnetic moment: 0.00 μB per cell
- Formation energy: 0.2 eV/f.u.

Cell lengths 6.3378, 6.3378, 12.0671 Å; angles 95.03, 95.03, 120.02 degrees
Last column: nearest neighbours and their distance in Å.
Element x y z (fractional)
La 0.3333 0.6667 0.0000  3 La 3.66, 3 Ho 3.66, 6 Nd 3.68
La 0.6667 0.3333 0.0000  3 La 3.66, 3 Ho 3.66, 6 Nd 3.68
Y 0.5000 0.5000 0.5000  6 Nd 3.61-3.62, 6 Y 3.66
Y 0.8337 0.1663 0.5000  6 Nd 3.61-3.62, 6 Y 3.65-3.66
Y 0.1663 0.8337 0.5000  6 Nd 3.61-3.62, 6 Y 3.65-3.66
Nd 0.7524 0.7524 0.2536  3 Y 3.61-3.62, 6 Nd 3.64-3.67, 1 Ho 3.68, 2 La 3.68
Nd 0.0844 0.4163 0.2533  3 Y 3.61-3.62, 6 Nd 3.64-3.67, 1 Ho 3.67, 2 La 3.68
Nd 0.2476 0.2476 0.7464  3 Y 3.61-3.62, 6 Nd 3.64-3.67, 1 Ho 3.68, 2 La 3.68
Nd 0.9156 0.5837 0.7467  3 Y 3.61-3.62, 6 Nd 3.64-3.67, 1 Ho 3.67, 2 La 3.68
Nd 0.4163 0.0844 0.2533  3 Y 3.61-3.62, 6 Nd 3.64-3.67, 1 Ho 3.67, 2 La 3.68
Nd 0.5837 0.9156 0.7467  3 Y 3.61-3.62, 6 Nd 3.64-3.67, 1 Ho 3.67, 2 La 3.68
Ho 0.0000 0.0000 0.0000  6 La 3.66, 6 Nd 3.67-3.68



Crystalline La2NdY6Ho2 at its relaxed geometry, computed with PBE.

Computed properties:
- Theoretical density: 5646 kg/m3
- Final energy: -61.0 eV for the cell shown
- Magnetic moment: 0.00 μB per cell
- Formation energy: 1.5 eV/f.u.

Cell lengths 8.7652, 8.7652, 9.8537 Å; angles 100.58, 100.58, 142.52 degrees
Last column: nearest neighbours and their distance in Å.
Element x y z (fractional)
Y 0.1518 0.4215 0.7867  1 Nd 3.22, 3 Ho 3.39-3.42, 3 Y 3.45-3.60
Y 0.7866 0.7866 0.7867  5 Y 3.45-3.60, 2 Ho 3.58, 2 Nd 3.65, 2 La 3.71
Y 0.5785 0.8482 0.2133  1 Nd 3.22, 3 Ho 3.39-3.42, 3 Y 3.45-3.60
Y 0.8482 0.5785 0.2133  1 Nd 3.22, 3 Ho 3.39-3.42, 3 Y 3.45-3.60
Y 0.2134 0.2134 0.2133  5 Y 3.45-3.60, 2 Ho 3.58, 2 Nd 3.65, 2 La 3.71
Y 0.4215 0.1518 0.7867  1 Nd 3.22, 3 Ho 3.39-3.42, 3 Y 3.45-3.60
La 0.3258 0.6742 0.5000  8 Y 3.71-3.93, 2 La 3.78, 2 Nd 4.04, 2 Ho 4.05
La 0.6742 0.3258 0.5000  8 Y 3.71-3.93, 2 La 3.78, 2 Nd 4.04, 2 Ho 4.05
Ho 0.1891 0.8109 0.0000  8 Y 3.39-3.58, 2 Ho 3.47
Ho 0.8109 0.1891 0.0000  8 Y 3.39-3.58, 2 Ho 3.47
Nd 0.0000 0.0000 0.5000  4 Y 3.22



Crystalline LaNdHoZn at its relaxed geometry, computed with PBE.

Computed properties:
- Theoretical density: 8129 kg/m3
- Final energy: -15.8 eV for the cell shown
- Magnetic moment: 0.00 μB per cell
- Formation energy: -0.2 eV/f.u.

Cell lengths 3.7741, 3.7741, 7.3641 Å; angles 90.00, 90.00, 90.00 degrees
Last column: nearest neighbours and their distance in Å.
Element x y z (fractional)
La 0.0000 0.0000 0.3271  4 Ho 3.39, 4 Nd 3.41, 1 Zn 3.55, 4 La 3.77
Nd 0.5000 0.5000 0.0385  1 Ho 3.15, 4 Zn 3.16, 4 La 3.41
Zn 0.0000 0.0000 0.8089  4 Ho 3.04, 4 Nd 3.16
Ho 0.5000 0.5000 0.6103  4 Zn 3.04, 1 Nd 3.15, 4 La 3.39



Crystalline LaNdHoZn at its relaxed geometry, computed with PBE.

Computed properties:
- Theoretical density: 7298 kg/m3
- Final energy: -15.5 eV for the cell shown
- Magnetic moment: 0.00 μB per cell
- Formation energy: 0.1 eV/f.u.

Cell lengths 5.4873, 5.4873, 5.4873 Å; angles 60.00, 60.00, 60.00 degrees
Last column: nearest neighbours and their distance in Å.
Element x y z (fractional)
La 0.0000 0.0000 0.0000  4 Zn 3.36, 4 Ho 3.36
Zn 0.7500 0.7500 0.7500  4 La 3.36, 4 Nd 3.36
Ho 0.2500 0.2500 0.2500  4 La 3.36, 4 Nd 3.36
Nd 0.5000 0.5000 0.5000  4 Ho 3.36, 4 Zn 3.36



Crystalline La2HoNi at its relaxed geometry, computed with PBE.

Computed properties:
- Theoretical density: 6870 kg/m3
- Final energy: -20.4 eV for the cell shown
- Magnetic moment: 0.03 μB per cell
- Formation energy: -0.2 eV/f.u.

Cell lengths 3.8710, 3.8710, 9.6038 Å; angles 78.37, 78.37, 60.00 degrees
Last column: nearest neighbours and their distance in Å.
Element x y z (fractional)
Ni 0.6667 0.6667 0.9999  6 La 2.83-2.84
Ho 0.4995 0.4995 0.5015  6 La 3.67-3.70, 6 Ho 3.87
La 0.0624 0.0624 0.8127  3 Ni 2.84
La 0.2714 0.2714 0.1859  3 Ni 2.83



Crystalline LaHo3Ni8 at its relaxed geometry, computed with PBE.

Computed properties:
- Theoretical density: 9821 kg/m3
- Final energy: -70.0 eV for the cell shown
- Magnetic moment: 0.00 μB per cell
- Formation energy: -5.1 eV/f.u.

Cell lengths 5.0851, 5.0851, 8.8320 Å; angles 73.27, 73.27, 60.00 degrees
Last column: nearest neighbours and their distance in Å.
Element x y z (fractional)
Ho 0.4990 0.4990 0.5030  12 Ni 2.98-3.05, 1 Ho 3.10, 3 La 3.12
Ho 0.0007 0.0007 0.9978  12 Ni 2.93-2.98, 3 Ho 3.11, 1 La 3.14
Ho 0.3749 0.3749 0.8753  12 Ni 2.95-2.98, 4 Ho 3.10-3.11
Ni 0.9401 0.4389 0.1822  6 Ni 2.52-2.59
Ni 0.1871 0.1871 0.4388  6 Ni 2.56-2.59
Ni 0.9378 0.4321 0.6922  6 Ni 2.51-2.57
Ni 0.4389 0.4389 0.1822  6 Ni 2.52-2.59
Ni 0.6876 0.6876 0.9372  6 Ni 2.52
Ni 0.4321 0.9378 0.6922  6 Ni 2.51-2.57
Ni 0.4389 0.9401 0.1822  6 Ni 2.52-2.59
Ni 0.9378 0.9378 0.6922  6 Ni 2.51-2.57
La 0.8751 0.8751 0.3747  12 Ni 2.98-3.03, 4 Ho 3.12-3.14



Crystalline La3HoNi at its relaxed geometry, computed with PBE.

Computed properties:
- Theoretical density: 6270 kg/m3
- Final energy: -25.0 eV for the cell shown
- Magnetic moment: 0.01 μB per cell
- Formation energy: 0.1 eV/f.u.

Cell lengths 5.5351, 5.5351, 5.5351 Å; angles 90.00, 90.00, 90.00 degrees
Last column: nearest neighbours and their distance in Å.
Element x y z (fractional)
Ni 0.0000 0.0000 0.0000  6 La 2.77
Ho 0.5000 0.5000 0.5000  12 La 3.91
La 0.5000 0.0000 0.0000  2 Ni 2.77
La 0.0000 0.5000 0.0000  2 Ni 2.77
La 0.0000 0.0000 0.5000  2 Ni 2.77



Crystalline La2HoNi9 at its relaxed geometry, computed with PBE.

Computed properties:
- Theoretical density: 8938 kg/m3
- Final energy: -70.6 eV for the cell shown
- Magnetic moment: 0.66 μB per cell
- Formation energy: -4.2 eV/f.u.

Cell lengths 4.9878, 4.9878, 8.8542 Å; angles 73.64, 73.64, 60.00 degrees
Last column: nearest neighbours and their distance in Å.
Element x y z (fractional)
Ni 0.6673 0.6673 0.9980  6 Ni 2.44-2.46
Ni 0.0801 0.5783 0.7633  7 Ni 2.44-2.63
Ni 0.4217 0.9199 0.2367  7 Ni 2.44-2.63
Ni 0.5783 0.5783 0.7633  7 Ni 2.44-2.63
Ni 0.5783 0.0801 0.7633  7 Ni 2.44-2.63
Ni 0.3327 0.3327 0.0020  6 Ni 2.44-2.46
Ni 0.5000 0.5000 0.5000  6 Ni 2.63
Ni 0.4217 0.4217 0.2367  7 Ni 2.44-2.63
Ni 0.9199 0.4217 0.2367  7 Ni 2.44-2.63
La 0.1375 0.1375 0.5874  9 Ni 2.90-2.97, 3 La 3.23
La 0.8625 0.8625 0.4126  9 Ni 2.90-2.97, 3 La 3.23
Ho 0.0000 0.0000 0.0000  18 Ni 2.88-3.19



Q: Which of these has the highest magnetic moment?
A: La2HoNi9



Repeat the third record exactly.
Crystalline La3Nd2Y6Ho at its relaxed geometry, computed with PBE.

Computed properties:
- Theoretical density: 5778 kg/m3
- Final energy: -67.5 eV for the cell shown
- Magnetic moment: 0.00 μB per cell
- Formation energy: 0.1 eV/f.u.

Cell lengths 6.2977, 6.2977, 11.9292 Å; angles 95.04, 95.04, 120.01 degrees
Last column: nearest neighbours and their distance in Å.
Element x y z (fractional)
Y 0.9180 0.5852 0.7529  1 Ho 3.58, 2 Nd 3.58, 6 Y 3.63-3.64, 3 La 3.63-3.64
Y 0.7494 0.7494 0.2473  1 Ho 3.58, 2 Nd 3.58, 6 Y 3.63-3.64, 3 La 3.64
Y 0.5852 0.9180 0.7529  1 Ho 3.58, 2 Nd 3.58, 6 Y 3.63-3.64, 3 La 3.63-3.64
Y 0.0820 0.4148 0.2471  1 Ho 3.58, 2 Nd 3.58, 6 Y 3.63-3.64, 3 La 3.63-3.64
Y 0.2506 0.2506 0.7527  1 Ho 3.58, 2 Nd 3.58, 6 Y 3.63-3.64, 3 La 3.64
Y 0.4148 0.0820 0.2471  1 Ho 3.58, 2 Nd 3.58, 6 Y 3.63-3.64, 3 La 3.63-3.64
Ho 0.0000 0.0000 0.0000  6 Y 3.58, 6 Nd 3.63-3.64
La 0.5000 0.5000 0.5000  6 La 3.63-3.64, 6 Y 3.64
La 0.1670 0.8330 0.5000  6 La 3.63-3.64, 6 Y 3.63-3.64
La 0.8330 0.1670 0.5000  6 La 3.63-3.64, 6 Y 3.63-3.64
Nd 0.6664 0.3336 0.0000  6 Y 3.58, 3 Nd 3.63-3.64, 3 Ho 3.63-3.64
Nd 0.3336 0.6664 0.0000  6 Y 3.58, 3 Nd 3.63-3.64, 3 Ho 3.63-3.64